(1)
CsAg2TeSe: relaxed, PBE.

Calculated values
uncorrected energy	-3.069	eV/atom

Unit cell a=6.589 b=14.534 c=6.474 alpha=90.00 beta=90.00 gamma=90.00
Space group Cmcm (No. 63)
Symmetry-distinct sites (fractional):
Cs 0.000 0.249 0.250
Ag 0.234 0.500 0.000
Te 0.000 0.108 0.750
Se 0.000 0.392 0.750

(2)
CsAgTeSe2: relaxed, PBE.

Calculated values
uncorrected energy	-3.068	eV/atom

Unit cell a=8.907 b=16.648 c=5.244 alpha=90.00 beta=90.00 gamma=90.00
Space group Cmme (No. 67)
Symmetry-distinct sites (fractional):
Cs 0.000 0.250 0.158
Ag 0.000 0.000 0.000
Te 0.250 0.000 0.500
Se 0.000 0.103 0.642

(3)
CsAg2TeSe4: relaxed, PBE.

Calculated values
uncorrected energy	-3.169	eV/atom

Unit cell a=6.889 b=8.450 c=9.469 alpha=90.00 beta=90.00 gamma=90.00
Space group I222 (No. 23)
Symmetry-distinct sites (fractional):
Cs 0.000 0.000 0.000
Ag 0.000 0.500 0.168
Te 0.000 0.000 0.500
Se 0.210 0.182 0.334

(4)
CsAg2Te2Se6: relaxed, PBE.

Calculated values
uncorrected energy	-3.236	eV/atom

Unit cell a=6.934 b=7.986 c=8.344 alpha=64.23 beta=69.31 gamma=78.14
Space group P-1 (No. 2)
Symmetry-distinct sites (fractional):
Cs 0.000 0.000 0.000
Ag 0.498 0.525 0.729
Te 0.002 0.268 0.440
Se 0.251 0.418 0.620
Se 0.256 0.912 0.569
Se 0.282 0.430 0.101

(5)
Cs2AgTeSe4: relaxed, PBE.

Calculated values
uncorrected energy	-3.145	eV/atom

Unit cell a=6.533 b=14.751 c=25.875 alpha=90.00 beta=90.00 gamma=90.00
Space group Fddd (No. 70, origin choice 2)
Symmetry-distinct sites (fractional):
Cs 0.125 0.125 0.304
Ag 0.125 0.125 0.125
Te 0.125 0.125 0.625
Se 0.106 0.269 0.819

(6)
Cs3Th3AgSe8: relaxed, PBE.

Calculated values
uncorrected energy	-5.142	eV/atom

Unit cell a=8.6829 b=8.6829 c=25.3837 alpha=90.00 beta=90.00 gamma=120.00
Space group R-3m (No. 166, hexagonal axes)
Symmetry-distinct sites (fractional):
Cs 0.0000 0.5000 0.0000
Th 0.0000 0.5000 0.5000
Ag 0.0000 0.0000 0.5000
Se 0.0000 0.0000 0.2309
Se 0.0148 0.5074 0.7720

(7)
Cs2Th2AgSe6: relaxed, PBE.

Calculated values
uncorrected energy	-4.955	eV/atom

Unit cell a=7.300 b=13.053 c=8.939 alpha=90.00 beta=104.71 gamma=90.00
Space group C2/m (No. 12)
Symmetry-distinct sites (fractional):
Cs 0.000 0.157 0.000
Th 0.000 0.332 0.500
Ag 0.000 0.000 0.500
Se 0.237 0.177 0.692
Se 0.244 0.500 0.668

(8)
Cs5Ti6AgSe27: relaxed, PBE.

Calculated values
uncorrected energy	-4.664	eV/atom

Unit cell a=14.0860 b=14.0860 c=14.0818 alpha=90.00 beta=90.00 gamma=120.00
Space group P31c (No. 159)
Symmetry-distinct sites (fractional):
Cs 0.0312 0.3776 0.0000
Cs 0.3333 0.6667 0.1968
Cs 0.3333 0.6667 0.8306
Ti 0.0143 0.6885 0.8807
Ti 0.0163 0.6785 0.1401
Ag 0.0000 0.0000 0.2537
Se 0.0126 0.5383 0.2669
Se 0.0751 0.8844 0.1349
Se 0.0953 0.8939 0.8649
Se 0.1093 0.7998 0.5118
Se 0.1254 0.5997 0.6454
Se 0.1346 0.6724 0.0073
Se 0.1494 0.8189 0.2562
Se 0.1552 0.8046 0.7562
Se 0.1790 0.7005 0.4229